This record from the Open Quantum Materials Database describes a relaxed structure of Ba2Ag2AsP. The functional is PBE.

Cell and atoms, written as extended XYZ:
```
6
Lattice="4.602 0.000 0.000 -2.301 3.986 0.000 0.000 0.000 9.075" Properties=species:S:1:pos:R:3 pbc="T T T"
Ba 0.000 0.000 0.000
Ba 0.000 0.000 4.467
Ag 0.000 2.657 2.241
Ag 2.301 1.329 6.782
As 0.000 2.657 6.745
P 2.301 1.329 2.210
```

Values from the calculation:
The value obtained for the calculated volume is 166.5 Å³/cell. The space-group type is P3m1. As for the uncorrected energy: -4.019 eV per atom.

This record from the Open Quantum Materials Database describes a relaxed structure of LiOs2O4. The functional is PBE.

Cell and atoms, written as extended XYZ:
```
14
Lattice="0.000 4.244 4.244 4.244 0.000 4.244 4.244 4.244 0.000" Properties=species:S:1:pos:R:3 pbc="T T T"
Li 1.061 1.061 1.061
Li 7.427 7.427 7.427
Os 4.244 2.122 2.122
Os 2.122 4.244 2.122
Os 2.122 2.122 4.244
Os 4.244 4.244 4.244
O 2.171 2.171 2.171
O 4.195 4.195 2.171
O 4.195 2.171 4.195
O 6.318 4.293 4.293
O 2.171 4.195 4.195
O 4.293 6.318 4.293
O 4.293 4.293 6.318
O 6.318 6.318 6.318
```

Values from the calculation:
The value obtained for the calculated volume is 152.9 Å³/cell. The space-group type is Fd-3m. The value obtained for the total moment is 6.000 μB/cell. As for the uncorrected energy: -7.171 eV per atom.

This record from the Open Quantum Materials Database describes a relaxed structure of TaCoSiOs. The functional is PBE.

Cell and atoms, written as extended XYZ:
```
4
Lattice="0.000 3.047 3.047 3.047 0.000 3.047 3.047 3.047 0.000" Properties=species:S:1:pos:R:3 pbc="T T T"
Ta 0.000 0.000 0.000
Co 3.047 3.047 3.047
Si 1.523 1.523 1.523
Os 4.570 4.570 4.570
```

Values from the calculation:
The value obtained for the calculated volume is 56.6 Å³/cell. The space-group type is F-43m. The value obtained for the total moment is 1.901 μB/cell. The calculation puts the energy above the lowest structure with this stoichiometry at 368 meV per atom.

This record from the Open Quantum Materials Database describes a relaxed structure of Dy3Mg3Cd2Ga. The functional is PBE.

Cell and atoms, written as extended XYZ:
```
9
Lattice="7.611 0.000 0.000 -3.805 6.591 0.000 0.000 0.000 4.396" Properties=species:S:1:pos:R:3 pbc="T T T"
Dy -2.254 3.903 0.000
Dy 1.552 2.688 0.000
Dy 4.507 0.000 0.000
Mg -0.904 1.565 2.198
Mg 1.807 0.000 2.198
Mg 2.902 5.026 2.198
Cd 0.000 4.394 2.198
Cd 3.805 2.197 2.198
Ga 0.000 0.000 0.000
```

Values from the calculation:
The value obtained for the calculated volume is 220.5 Å³/cell. The space-group type is P-62m. The value obtained for the total moment is 0.006 μB/cell. As for the uncorrected energy: -2.888 eV per atom.

This record from the Open Quantum Materials Database describes a relaxed structure of NbGe2Mo2. The functional is PBE.

Cell and atoms, written as extended XYZ:
```
5
Lattice="-1.917 1.917 5.776 1.917 -1.917 5.776 1.917 1.917 -5.776" Properties=species:S:1:pos:R:3 pbc="T T T"
Nb 0.000 0.000 0.000
Ge 0.000 0.000 4.599
Ge 0.000 0.000 6.954
Mo 1.917 0.000 2.888
Mo 0.000 1.917 2.888
```

Values from the calculation:
The value obtained for the calculated volume is 84.9 Å³/cell. The space-group type is I4/mmm. The value obtained for the total moment is 0.018 μB/cell. The calculation puts the energy above the lowest structure with this stoichiometry at 0 meV per atom.

This record from the Open Quantum Materials Database describes a relaxed structure of Li3Fe2S4. The functional is PBE.

Cell and atoms, written as extended XYZ:
```
18
Lattice="3.579 0.000 0.000 0.000 10.306 0.000 -0.110 0.000 8.069" Properties=species:S:1:pos:R:3 pbc="T T T"
Li -0.029 0.000 3.892
Li 1.631 2.392 5.905
Li 1.644 0.354 7.974
Li 1.826 5.507 0.095
Li 1.838 7.545 2.164
Li 3.498 5.153 4.177
Fe 0.012 3.633 1.639
Fe 1.676 7.079 5.636
Fe 1.793 1.926 2.434
Fe 3.458 8.786 6.430
S 0.002 2.658 3.599
S 0.036 5.836 1.763
S 1.670 8.063 7.592
S 1.709 4.914 5.791
S 1.761 10.067 2.279
S 1.799 2.910 0.477
S 3.433 0.683 6.307
S 3.468 7.811 4.471
```

Values from the calculation:
The value obtained for the calculated volume is 297.7 Å³/cell. The space-group type is P2_1. The value obtained for the total moment is 9.637 μB/cell. The calculation puts the energy above the lowest structure with this stoichiometry at 6 meV per atom.